Record 1
Material: Mn4Sb
Method: DFT, PBE
State: relaxed

Computed properties:
- total DFT energy (no corrections) (eV/cell) = -34.41
- magnetization (μB/cell) = 15.57

Cell and atoms, written as CIF:
```
data_Mn4Sb
_symmetry_space_group_name_H-M 'P m -3 m'
_symmetry_Int_Tables_number 221
_symmetry_space_group_name_Hall '-P 4 2 3'
_cell_length_a 4.932
_cell_length_b 4.932
_cell_length_c 4.932
_cell_angle_alpha 90.00
_cell_angle_beta 90.00
_cell_angle_gamma 90.00
loop_
_atom_site_label
_atom_site_fract_x
_atom_site_fract_y
_atom_site_fract_z
Mn1 0.000 0.000 0.000
Mn2 0.000 0.500 0.500
Sb1 0.500 0.500 0.500
```

---

Record 2
Material: MnSb2
Method: DFT, PBE
State: relaxed

Computed properties:
- total DFT energy (no corrections) (eV/cell) = -67.51
- magnetization (μB/cell) = 10.54

Cell and atoms, written as CIF:
```
data_MnSb2
_symmetry_space_group_name_H-M 'C 1 m 1'
_symmetry_Int_Tables_number 8
_symmetry_space_group_name_Hall 'C -2y'
_cell_length_a 11.841
_cell_length_b 3.394
_cell_length_c 7.945
_cell_angle_alpha 90.00
_cell_angle_beta 115.74
_cell_angle_gamma 90.00
loop_
_atom_site_label
_atom_site_fract_x
_atom_site_fract_y
_atom_site_fract_z
Mn1 0.000 0.000 0.000
Mn2 0.165 0.500 0.966
Sb1 0.017 0.000 0.681
Sb2 0.058 0.500 0.296
Sb3 0.269 0.000 0.261
Sb4 0.307 0.000 0.856
```

---

Record 3
Material: Mn3Sb
Method: DFT, PBE
State: relaxed

Computed properties:
- total DFT energy (no corrections) (eV/cell) = -124.71
- magnetization (μB/cell) = 8.00

Cell and atoms, written as CIF:
```
data_Mn3Sb
_symmetry_space_group_name_H-M 'F m -3 m'
_symmetry_Int_Tables_number 225
_symmetry_space_group_name_Hall '-F 4 2 3'
_cell_length_a 5.982
_cell_length_b 5.982
_cell_length_c 5.982
_cell_angle_alpha 90.00
_cell_angle_beta 90.00
_cell_angle_gamma 90.00
loop_
_atom_site_label
_atom_site_fract_x
_atom_site_fract_y
_atom_site_fract_z
Mn1 0.000 0.000 0.000
Mn2 0.250 0.250 0.250
Sb1 0.000 0.000 0.500
```

---

Record 4
Material: Mn3Sb
Method: DFT, PBE
State: relaxed

Computed properties:
- total DFT energy (no corrections) (eV/cell) = -25.88
- magnetization (μB/cell) = 12.10

Cell and atoms, written as CIF:
```
data_Mn3Sb
_symmetry_space_group_name_H-M 'P m -3 m'
_symmetry_Int_Tables_number 221
_symmetry_space_group_name_Hall '-P 4 2 3'
_cell_length_a 5.135
_cell_length_b 5.135
_cell_length_c 5.135
_cell_angle_alpha 90.00
_cell_angle_beta 90.00
_cell_angle_gamma 90.00
loop_
_atom_site_label
_atom_site_fract_x
_atom_site_fract_y
_atom_site_fract_z
Mn1 0.000 0.000 0.500
Sb1 0.000 0.000 0.000
```

---

Record 5
Material: MnSb3
Method: DFT, PBE
State: relaxed

Computed properties:
- total DFT energy (no corrections) (eV/cell) = -59.93
- magnetization (μB/cell) = 11.91

Cell and atoms, written as CIF:
```
data_MnSb3
_symmetry_space_group_name_H-M 'R -3 m'
_symmetry_Int_Tables_number 166
_symmetry_space_group_name_Hall '-R 3 2"'
_cell_length_a 10.0065
_cell_length_b 10.0065
_cell_length_c 3.4105
_cell_angle_alpha 90.00
_cell_angle_beta 90.00
_cell_angle_gamma 120.00
loop_
_atom_site_label
_atom_site_fract_x
_atom_site_fract_y
_atom_site_fract_z
Mn1 0.0000 0.0000 0.0000
Sb1 0.0000 0.5000 0.0000
```

---

Record 6
Material: Mn5Sb4
Method: DFT, PBE
State: relaxed

Computed properties:
- total DFT energy (no corrections) (eV/cell) = -61.98
- magnetization (μB/cell) = 14.57

Cell and atoms, written as CIF:
```
data_Mn5Sb4
_symmetry_space_group_name_H-M 'P -6 m 2'
_symmetry_Int_Tables_number 187
_symmetry_space_group_name_Hall 'P -6 2'
_cell_length_a 4.2648
_cell_length_b 4.2648
_cell_length_c 10.9397
_cell_angle_alpha 90.00
_cell_angle_beta 90.00
_cell_angle_gamma 120.00
loop_
_atom_site_label
_atom_site_fract_x
_atom_site_fract_y
_atom_site_fract_z
Mn1 0.0000 0.0000 0.0000
Mn2 0.3333 0.6667 0.1252
Mn3 0.3333 0.6667 0.3755
Sb1 0.0000 0.0000 0.2504
Sb2 0.6667 0.3333 0.0000
Sb3 0.6667 0.3333 0.5000
```

---

Record 7
Material: MnSb3
Method: DFT, PBE
State: relaxed

Computed properties:
- total DFT energy (no corrections) (eV/cell) = -42.27
- magnetization (μB/cell) = 4.51

Cell and atoms, written as CIF:
```
data_MnSb3
_symmetry_space_group_name_H-M 'P m m n'
_symmetry_Int_Tables_number 59
_cell_length_a 3.672
_cell_length_b 8.539
_cell_length_c 6.076
_cell_angle_alpha 90.00
_cell_angle_beta 90.00
_cell_angle_gamma 90.00
loop_
_symmetry_equiv_pos_as_xyz
'x,y,z'
'-x,-y,-z'
'-x+1/2,-y+1/2,z'
'x+1/2,y+1/2,-z'
'x+1/2,-y,-z'
'-x+1/2,y,z'
'-x,y+1/2,-z'
'x,-y+1/2,z'
loop_
_atom_site_label
_atom_site_fract_x
_atom_site_fract_y
_atom_site_fract_z
Mn1 0.250 0.250 0.040
Sb1 0.250 0.561 0.193
Sb2 0.250 0.750 0.638
```

---

Record 8
Material: MnSb3
Method: DFT, PBE
State: relaxed

Computed properties:
- total DFT energy (no corrections) (eV/cell) = -19.86
- magnetization (μB/cell) = 4.23

Cell and atoms, written as CIF:
```
data_MnSb3
_symmetry_space_group_name_H-M 'P m -3 m'
_symmetry_Int_Tables_number 221
_symmetry_space_group_name_Hall '-P 4 2 3'
_cell_length_a 4.643
_cell_length_b 4.643
_cell_length_c 4.643
_cell_angle_alpha 90.00
_cell_angle_beta 90.00
_cell_angle_gamma 90.00
loop_
_atom_site_label
_atom_site_fract_x
_atom_site_fract_y
_atom_site_fract_z
Mn1 0.000 0.000 0.000
Sb1 0.000 0.500 0.500
```

---

Record 9
Material: MnSb3
Method: DFT, PBE
State: relaxed

Computed properties:
- total DFT energy (no corrections) (eV/cell) = -39.97
- magnetization (μB/cell) = 8.47

Cell and atoms, written as CIF:
```
data_MnSb3
_symmetry_space_group_name_H-M 'I 4/m m m'
_symmetry_Int_Tables_number 139
_symmetry_space_group_name_Hall '-I 4 2'
_cell_length_a 4.330
_cell_length_b 4.330
_cell_length_c 10.696
_cell_angle_alpha 90.00
_cell_angle_beta 90.00
_cell_angle_gamma 90.00
loop_
_atom_site_label
_atom_site_fract_x
_atom_site_fract_y
_atom_site_fract_z
Mn1 0.000 0.000 0.000
Sb1 0.000 0.000 0.500
Sb2 0.000 0.500 0.250
```

---

Record 10
Material: MnSb3
Method: DFT, PBE
State: relaxed

Computed properties:
- total DFT energy (no corrections) (eV/cell) = -80.52
- magnetization (μB/cell) = 15.57

Cell and atoms, written as CIF:
```
data_MnSb3
_symmetry_space_group_name_H-M 'I 4/m m m'
_symmetry_Int_Tables_number 139
_symmetry_space_group_name_Hall '-I 4 2'
_cell_length_a 4.366
_cell_length_b 4.366
_cell_length_c 21.428
_cell_angle_alpha 90.00
_cell_angle_beta 90.00
_cell_angle_gamma 90.00
loop_
_atom_site_label
_atom_site_fract_x
_atom_site_fract_y
_atom_site_fract_z
Mn1 0.000 0.000 0.159
Sb1 0.000 0.000 0.384
Sb2 0.000 0.500 0.000
Sb3 0.000 0.500 0.250
```

---

Record 11
Material: MnSb3
Method: DFT, PBE
State: relaxed

Computed properties:
- total DFT energy (no corrections) (eV/cell) = -84.29
- magnetization (μB/cell) = 11.69

Cell and atoms, written as CIF:
```
data_MnSb3
_symmetry_space_group_name_H-M 'P n m a'
_symmetry_Int_Tables_number 62
_symmetry_space_group_name_Hall '-P 2ac 2n'
_cell_length_a 6.663
_cell_length_b 8.657
_cell_length_c 6.550
_cell_angle_alpha 90.00
_cell_angle_beta 90.00
_cell_angle_gamma 90.00
loop_
_atom_site_label
_atom_site_fract_x
_atom_site_fract_y
_atom_site_fract_z
Mn1 0.140 0.250 0.030
Sb1 0.018 0.250 0.632
Sb2 0.195 0.567 0.853
```

---

Record 12
Material: MnSb3
Method: DFT, PBE
State: relaxed

Computed properties:
- total DFT energy (no corrections) (eV/cell) = -78.62
- magnetization (μB/cell) = 0.00

Cell and atoms, written as CIF:
```
data_MnSb3
_symmetry_space_group_name_H-M 'C m c m'
_symmetry_Int_Tables_number 63
_symmetry_space_group_name_Hall '-C 2c 2'
_cell_length_a 8.480
_cell_length_b 12.174
_cell_length_c 4.014
_cell_angle_alpha 90.00
_cell_angle_beta 90.00
_cell_angle_gamma 90.00
loop_
_atom_site_label
_atom_site_fract_x
_atom_site_fract_y
_atom_site_fract_z
Mn1 0.000 0.024 0.250
Sb1 0.000 0.407 0.250
Sb2 0.230 0.151 0.250
```

---

Record 13
Material: MnSb3
Method: DFT, PBE
State: relaxed

Computed properties:
- total DFT energy (no corrections) (eV/cell) = -19.75
- magnetization (μB/cell) = 2.89

Cell and atoms, written as CIF:
```
data_MnSb3
_symmetry_space_group_name_H-M 'P m -3 m'
_symmetry_Int_Tables_number 221
_symmetry_space_group_name_Hall '-P 4 2 3'
_cell_length_a 5.085
_cell_length_b 5.085
_cell_length_c 5.085
_cell_angle_alpha 90.00
_cell_angle_beta 90.00
_cell_angle_gamma 90.00
loop_
_atom_site_label
_atom_site_fract_x
_atom_site_fract_y
_atom_site_fract_z
Mn1 0.000 0.000 0.000
Sb1 0.000 0.000 0.500
```